1.
Material: AcLaNiHg
Method: DFT, PBE
State: relaxed

a = 7.6560 Å, b = 7.6560 Å, c = 7.6560 Å
α = 90.00°, β = 90.00°, γ = 90.00°
Space group F-43m (No. 216)
Inequivalent atoms, fractional coordinates:
Ac 0.0000 0.0000 0.0000 [4 per cell]
La 0.0000 0.0000 0.5000 [4 per cell]
Ni 0.2500 0.2500 0.2500 [4 per cell]
Hg 0.2500 0.2500 0.7500 [4 per cell]

## Properties
As for the density: 9.3 g cm⁻³. The value obtained for the energy relative to the elements is -249 meV/atom. The value obtained for the raw total energy is -4.029 eV per atom. The crystal system is cubic.


2.
Material: NaZn2InPd
Method: DFT, PBE
State: relaxed

a = 4.9161 Å, b = 4.9161 Å, c = 5.1230 Å
α = 90.00°, β = 90.00°, γ = 90.00°
Space group P4/mmm (No. 123)
Inequivalent atoms, fractional coordinates:
Na 0.0000 0.0000 0.0000 [1 per cell]
Zn 0.0000 0.5000 0.5000 [2 per cell]
In 0.5000 0.5000 0.0000 [1 per cell]
Pd 0.5000 0.5000 0.5000 [1 per cell]

## Properties
As for the density: 5.0 g cm⁻³. The value obtained for the energy relative to the elements is -103 meV/atom. The value obtained for the raw total energy is -2.463 eV per atom. The crystal system is tetragonal.


3.
Material: CsRb2B2
Method: DFT, PBE
State: relaxed

a = 5.9951 Å, b = 5.9951 Å, c = 9.4319 Å
α = 90.00°, β = 90.00°, γ = 90.00°
Space group I4/mmm (No. 139)
Inequivalent atoms, fractional coordinates:
Cs 0.0000 0.0000 0.0000 [2 per cell]
Rb 0.0000 0.5000 0.2500 [4 per cell]
B 0.0000 0.0000 0.4172 [4 per cell]

## Properties
As for the density: 3.2 g cm⁻³. The value obtained for the energy relative to the elements is 797 meV/atom. The value obtained for the raw total energy is -2.432 eV per atom. The crystal system is tetragonal.


4.
Material: LaNdCuO4
Method: DFT, PBE
State: relaxed

a = 12.9536 Å, b = 5.2925 Å, c = 5.5987 Å
α = 90.00°, β = 90.31°, γ = 90.00°
Space group C2/m (No. 12)
Inequivalent atoms, fractional coordinates:
La 0.1401 0.0000 0.4838 [4 per cell]
Nd 0.1380 0.5000 0.0185 [4 per cell]
Cu 0.0000 0.0000 0.0000 [2 per cell]
Cu 0.0000 0.5000 0.5000 [2 per cell]
O 0.0153 0.2527 0.7545 [8 per cell]
O 0.1860 0.5000 0.4270 [4 per cell]
O 0.1886 0.0000 0.0712 [4 per cell]

## Properties
The energy relative to the elements, uncorrected comes out at -17.774 eV/f.u. As for the density: 7.1 g cm⁻³. The value obtained for the raw total energy is -7.343 eV per atom. The crystal system is monoclinic.